[1]
Dy2Ge2O5: optimized geometry, PBE.

## Properties
E_form (uncorrected) in eV per atom: -1.90
Space group: P4/mmm

a = 3.6860 Å, b = 3.6860 Å, c = 9.4229 Å
α = 90.00°, β = 90.00°, γ = 90.00°
Last column: nearest neighbours and their distance in Å.
Element x y z (fractional)
Dy  0.0000  0.0000  0.2528  5 O 2.18-2.33
Dy  0.0000  0.0000  0.7472  5 O 2.18-2.33
Ge  0.5000  0.5000  0.0000  8 O 2.20
Ge  0.5000  0.5000  0.5000  4 O 2.61
O  0.0000  0.5000  0.1284  2 Dy 2.18, 2 Ge 2.20, 1 O 2.42
O  0.0000  0.5000  0.8716  2 Dy 2.18, 2 Ge 2.20, 1 O 2.42
O  0.0000  0.0000  0.5000  2 Dy 2.33, 4 Ge 2.61
O  0.5000  0.0000  0.1284  2 Dy 2.18, 2 Ge 2.20, 1 O 2.42
O  0.5000  0.0000  0.8716  2 Dy 2.18, 2 Ge 2.20, 1 O 2.42

=====

[2]
DyPaGeO6: optimized geometry, PBE.

## Properties
E_form (uncorrected) in eV per atom: -2.86
Space group: P-31c

a = 5.3744 Å, b = 5.3744 Å, c = 9.4690 Å
α = 90.00°, β = 90.00°, γ = 120.00°
Last column: nearest neighbours and their distance in Å.
Element x y z (fractional)
Dy  0.3333  0.6667  0.2500  6 O 2.27
Dy  0.6667  0.3333  0.7500  6 O 2.27
Pa  0.0000  0.0000  0.0000  6 O 2.21
Pa  0.0000  0.0000  0.5000  6 O 2.21
Ge  0.6667  0.3333  0.2500  6 O 1.95
Ge  0.3333  0.6667  0.7500  6 O 1.95
O  0.6872  0.6404  0.1327  1 Ge 1.95
O  0.9532  0.3128  0.1327  1 Ge 1.95
O  0.3128  0.9532  0.6327  1 Ge 1.95
O  0.0468  0.6872  0.8673  1 Ge 1.95
O  0.3596  0.3128  0.3673  1 Ge 1.95
O  0.9532  0.6404  0.3673  1 Ge 1.95
O  0.6404  0.9532  0.8673  1 Ge 1.95
O  0.6872  0.0468  0.3673  1 Ge 1.95
O  0.0468  0.3596  0.6327  1 Ge 1.95
O  0.3596  0.0468  0.1327  1 Ge 1.95
O  0.6404  0.6872  0.6327  1 Ge 1.95
O  0.3128  0.3596  0.8673  1 Ge 1.95

=====

[3]
Dy2PaGeO8: optimized geometry, PBE.

## Properties
E_form (uncorrected) in eV per atom: -2.81
Space group: Cmmm

a = 4.9970 Å, b = 4.9945 Å, c = 6.7342 Å
α = 90.00°, β = 90.00°, γ = 91.68°
Last column: nearest neighbours and their distance in Å.
Element x y z (fractional)
Dy  0.4999  0.4999  0.7628  6 O 2.24-2.29
Dy  0.5001  0.5001  0.2372  6 O 2.24-2.29
Pa  0.0000  0.0000  0.5000  6 O 2.10-2.26
Ge  0.0000  0.0000  0.0000  6 O 1.87-1.99
O  0.1801  0.8189  0.2251  1 Ge 1.99
O  0.7307  0.7313  0.9999  1 Ge 1.87
O  0.8198  0.1810  0.2251  1 Ge 1.99
O  0.8199  0.1811  0.7749  1 Ge 1.99
O  0.2693  0.2687  0.0001  1 Ge 1.87
O  0.1802  0.8190  0.7749  1 Ge 1.99
O  0.6977  0.6988  0.5000  1 Pa 2.10, 2 Dy 2.24
O  0.3023  0.3012  0.5000  1 Pa 2.10, 2 Dy 2.24

=====

[4]
DyPaGe2O8: optimized geometry, PBE.

## Properties
E_form (uncorrected) in eV per atom: -2.67
Space group: I-4m2

a = 5.9589 Å, b = 5.9589 Å, c = 5.9589 Å
α = 107.13°, β = 107.13°, γ = 114.27°
Last column: nearest neighbours and their distance in Å.
Element x y z (fractional)
Dy  0.2500  0.7500  0.5000  8 O 2.29-2.46
Pa  0.0000  0.0000  0.0000  8 O 2.25-2.39
Ge  0.7500  0.2500  0.5000  4 O 1.77
Ge  0.5000  0.5000  0.0000  4 O 1.77
O  0.3812  0.0694  0.3118  1 Ge 1.77
O  0.3115  0.4929  0.1814  1 Ge 1.77
O  0.3115  0.1301  0.8186  1 Ge 1.77
O  0.7575  0.0694  0.6882  1 Ge 1.77
O  0.8699  0.6885  0.1814  1 Ge 1.77
O  0.9306  0.2425  0.3118  1 Ge 1.77
O  0.9306  0.6188  0.6882  1 Ge 1.77
O  0.5071  0.6885  0.8186  1 Ge 1.77

=====

[5]
Dy2GePbO6: optimized geometry, PBE.

## Properties
E_form (uncorrected) in eV per atom: -2.22
Space group: P4mm

a = 5.4999 Å, b = 5.3564 Å, c = 5.3564 Å
α = 90.00°, β = 90.00°, γ = 90.00°
Last column: nearest neighbours and their distance in Å.
Element x y z (fractional)
Dy  0.9691  0.5000  0.0000  4 O 2.25
Dy  0.9691  0.0000  0.5000  4 O 2.25
Ge  0.6138  0.0000  0.0000  5 O 1.79-1.88
Pb  0.5181  0.5000  0.5000  5 O 2.35-2.42
O  0.7493  0.2286  0.2286  1 Ge 1.88
O  0.7493  0.2286  0.7714  1 Ge 1.88
O  0.0913  0.5000  0.5000  1 Pb 2.35
O  0.2881  0.0000  0.0000  1 Ge 1.79
O  0.7493  0.7714  0.7714  1 Ge 1.88
O  0.7493  0.7714  0.2286  1 Ge 1.88

=====

[6]
Pm4Dy2Ge3O2: optimized geometry, PBE.

## Properties
E_form (uncorrected) in eV per atom: -1.50
Space group: I4/mmm

a = 4.6653 Å, b = 4.6653 Å, c = 12.4642 Å
α = 100.79°, β = 100.79°, γ = 90.00°
Last column: nearest neighbours and their distance in Å.
Element x y z (fractional)
Pm  0.4187  0.9187  0.8374  2 O 2.41
Pm  0.9187  0.4187  0.8374  2 O 2.41
Pm  0.0813  0.5813  0.1626  2 O 2.41
Pm  0.5813  0.0813  0.1626  2 O 2.41
Dy  0.3006  0.3006  0.6013  1 O 2.25
Dy  0.6994  0.6994  0.3987  1 O 2.25
Ge  0.0000  0.0000  0.0000  8 Pm 3.04
Ge  0.1774  0.1774  0.3548  1 Dy 2.96, 4 Pm 3.28
Ge  0.8226  0.8226  0.6452  1 Dy 2.96, 4 Pm 3.28
O  0.3941  0.3941  0.7883  1 Dy 2.25, 4 Pm 2.41
O  0.6059  0.6059  0.2117  1 Dy 2.25, 4 Pm 2.41

=====

[7]
PmDyGe2O8: optimized geometry, PBE.

## Properties
E_form (uncorrected) in eV per atom: -2.23
Space group: I-4

a = 5.1439 Å, b = 5.1439 Å, c = 6.7750 Å
α = 112.31°, β = 112.31°, γ = 90.00°
Last column: nearest neighbours and their distance in Å.
Element x y z (fractional)
Pm  0.7500  0.2500  0.5000  8 O 2.42-2.45
Dy  0.0000  0.0000  0.0000  8 O 2.36-2.40
Ge  0.5000  0.5000  0.0000  4 O 1.78
Ge  0.2500  0.7500  0.5000  4 O 1.79
O  0.7331  0.8355  0.1585  1 Ge 1.78
O  0.4254  0.3230  0.1585  1 Ge 1.78
O  0.5892  0.6893  0.6664  1 Ge 1.79
O  0.0772  0.9771  0.6664  1 Ge 1.79
O  0.0229  0.4108  0.3336  1 Ge 1.79
O  0.3107  0.9228  0.3336  1 Ge 1.79
O  0.1645  0.5746  0.8415  1 Ge 1.78
O  0.6770  0.2669  0.8415  1 Ge 1.78

=====

[8]
Pr4Dy2Ge3O2: optimized geometry, PBE.

## Properties
E_form (uncorrected) in eV per atom: -1.44
Space group: I4/mmm

a = 4.7406 Å, b = 4.7406 Å, c = 12.5797 Å
α = 100.86°, β = 100.86°, γ = 90.00°
Last column: nearest neighbours and their distance in Å.
Element x y z (fractional)
Pr  0.4179  0.9179  0.8358  2 O 2.45
Pr  0.9179  0.4179  0.8358  2 O 2.45
Pr  0.0821  0.5821  0.1642  2 O 2.45
Pr  0.5821  0.0821  0.1642  2 O 2.45
Dy  0.2996  0.2996  0.5993  1 O 2.23
Dy  0.7004  0.7004  0.4007  1 O 2.23
Ge  0.0000  0.0000  0.0000  8 Pr 3.10
Ge  0.1780  0.1780  0.3559  1 Dy 2.95
Ge  0.8220  0.8220  0.6441  1 Dy 2.95
O  0.3916  0.3916  0.7832  1 Dy 2.23, 4 Pr 2.45
O  0.6084  0.6084  0.2168  1 Dy 2.23, 4 Pr 2.45

=====

| no. | E_tot (eV per atom) |
| --- | --- |
| 1 | -6.702 |
| 2 | -8.245 |
| 3 | -8.061 |
| 4 | -7.923 |
| 5 | -6.952 |
| 6 | -6.222 |
| 7 | -7.081 |
| 8 | -6.179 |